VASP calculation (PBE) on La4B3Rh12Pb after structural relaxation.

Summary:
crystal system	cubic
DOS(E_F)	17.86	states/eV per cell
ΔH_f (0 K)	-0.489	eV/atom
uncorrected energy	-7.072	eV/atom

Cell: 7.719 7.719 7.719 Å, 109.47 109.47 109.47°
Fractional coordinates of all 20 atoms:
La  0.000  0.000  0.500
La  0.000  0.500  0.000
La  0.500  0.000  0.000
La  0.500  0.500  0.500
B  0.000  0.500  0.500
B  0.500  0.000  0.500
B  0.500  0.500  0.000
Rh  0.000  0.284  0.284
Rh  0.000  0.716  0.716
Rh  0.250  0.500  0.750
Rh  0.250  0.750  0.500
Rh  0.284  0.000  0.284
Rh  0.284  0.284  0.000
Rh  0.500  0.250  0.750
Rh  0.500  0.750  0.250
Rh  0.716  0.000  0.716
Rh  0.716  0.716  0.000
Rh  0.750  0.250  0.500
Rh  0.750  0.500  0.250
Pb  0.000  0.000  0.000


VASP calculation (PBE) on CaSb4Pt after structural relaxation.

Summary:
crystal system	cubic
DOS(E_F)	3.20	states/eV per cell
raw formation energy	13	kJ/mol of atoms
uncorrected energy	-3.957	eV/atom

Cell: 6.139 6.139 6.139 Å, 60.00 60.00 60.00°
Fractional coordinates of all 6 atoms:
Ca  0.000  0.000  0.000
Sb  0.376  0.376  0.376
Sb  0.376  0.376  0.872
Sb  0.376  0.872  0.376
Sb  0.872  0.376  0.376
Pt  0.750  0.750  0.750


VASP calculation (PBE) on AlTe2NCl after structural relaxation.

Summary:
crystal system	tetragonal
DOS(E_F)	6.20	states/eV per cell
distance to the lowest polymorph of the same formula	615.3	meV/atom
raw formation energy	92	kJ/mol of atoms
uncorrected energy	-3.085	eV/atom

Cell: 5.408 5.408 4.754 Å, 90.00 90.00 90.00°
Fractional coordinates of all 5 atoms:
Al  0.000  0.000  0.000
Te  0.000  0.500  0.000
Te  0.500  0.000  0.000
N  0.500  0.500  0.500
Cl  0.000  0.000  0.500


VASP calculation (PBE) on HgPOs after structural relaxation.

Summary:
crystal system	trigonal
DOS(E_F)	0.46	states/eV per cell
ΔH_f (0 K)	0.169	eV/atom
distance to the lowest polymorph of the same formula	0.0	meV/atom
uncorrected energy	-5.478	eV/atom

Cell: 3.052 3.052 6.660 Å, 90.00 90.00 120.00°
Fractional coordinates of all 3 atoms:
Hg  0.000  0.000  0.000
P  0.333  0.667  0.588
Os  0.667  0.333  0.363


VASP calculation (PBE) on TaPdS3 after structural relaxation.

Summary:
crystal system	monoclinic
DOS(E_F)	2.96	states/eV per cell
distance to the lowest polymorph of the same formula	0.0	meV/atom
raw formation energy	-65	kJ/mol of atoms
uncorrected energy	-6.555	eV/atom

Cell: 6.238 3.410 10.293 Å, 90.00 100.62 90.00°
Fractional coordinates of all 10 atoms:
Ta  0.007  0.250  0.311
Ta  0.993  0.750  0.689
Pd  0.342  0.750  0.244
Pd  0.658  0.250  0.756
S  0.157  0.250  0.116
S  0.208  0.750  0.460
S  0.267  0.250  0.765
S  0.733  0.750  0.235
S  0.792  0.250  0.540
S  0.843  0.750  0.884


VASP calculation (PBE) on Ca2SmNpO6 after structural relaxation.

Summary:
crystal system	trigonal
DOS(E_F)	8.22	states/eV per cell
raw formation energy	-301	kJ/mol of atoms
uncorrected energy	-8.256	eV/atom

Cell: 6.116 6.116 6.116 Å, 57.61 57.61 57.61°
Fractional coordinates of all 10 atoms:
Ca  0.000  0.000  0.000
Ca  0.494  0.494  0.494
Sm  0.218  0.218  0.218
Np  0.710  0.710  0.710
O  0.071  0.436  0.830
O  0.347  0.909  0.599
O  0.436  0.830  0.071
O  0.599  0.347  0.909
O  0.830  0.071  0.436
O  0.909  0.599  0.347


VASP calculation (PBE) on Mg2AlTc after structural relaxation.

Summary:
crystal system	tetragonal
DOS(E_F)	0.00	states/eV per cell
ΔH_f (0 K)	0.425	eV/atom
uncorrected energy	-3.899	eV/atom

Cell: 5.847 5.847 5.847 Å, 101.87 101.87 126.05°
Fractional coordinates of all 8 atoms:
Mg  0.121  0.625  0.996
Mg  0.375  0.371  0.496
Mg  0.629  0.125  0.004
Mg  0.875  0.879  0.504
Al  0.250  0.750  0.500
Al  0.500  0.500  0.000
Tc  0.000  0.000  0.000
Tc  0.750  0.250  0.500


VASP calculation (PBE) on HoSc2Tl after structural relaxation.

Summary:
crystal system	monoclinic
DOS(E_F)	11.09	states/eV per cell
ΔH_f (0 K)	-0.175	eV/atom
distance to the lowest polymorph of the same formula	3.9	meV/atom
uncorrected energy	-5.077	eV/atom

Cell: 4.390 4.537 10.800 Å, 90.00 101.70 90.00°
Fractional coordinates of all 8 atoms:
Ho  0.190  0.250  0.382
Ho  0.810  0.750  0.618
Sc  0.054  0.750  0.108
Sc  0.437  0.750  0.874
Sc  0.563  0.250  0.126
Sc  0.946  0.250  0.892
Tl  0.340  0.250  0.680
Tl  0.660  0.750  0.320